# 1
# PBE BaScZn, relaxed
data_BaScZn
_cell_length_a 5.2706
_cell_length_b 5.2706
_cell_length_c 5.2706
_cell_angle_alpha 60.00
_cell_angle_beta 60.00
_cell_angle_gamma 60.00
_space_group_name_H-M_alt 'P 1'
_space_group_IT_number 1
loop_
_space_group_symop_operation_xyz
'x,y,z'
loop_
_atom_site_label
_atom_site_fract_x
_atom_site_fract_y
_atom_site_fract_z
Sc1 0.0000 0.0000 0.0000
Zn1 0.5000 0.5000 0.5000
Ba1 0.2500 0.2500 0.2500
# Formation enthalpy at 0 K ... 2.422 eV/f.u.
# Space-group type ... F-43m
# Magnetization ... 0.00 μB/cell

***

# 2
# PBE Pm2GeP, relaxed
data_Pm2GeP
_cell_length_a 3.5234
_cell_length_b 3.5234
_cell_length_c 7.5996
_cell_angle_alpha 90.00
_cell_angle_beta 90.00
_cell_angle_gamma 90.00
_space_group_name_H-M_alt 'P 1'
_space_group_IT_number 1
loop_
_space_group_symop_operation_xyz
'x,y,z'
loop_
_atom_site_label
_atom_site_fract_x
_atom_site_fract_y
_atom_site_fract_z
P1 0.5000 0.5000 0.5000
Ge1 0.5000 0.5000 0.0000
Pm1 0.0000 0.0000 0.2733
Pm2 0.0000 0.0000 0.7267
# Formation enthalpy at 0 K ... -3.425 eV/f.u.
# Space-group type ... P4/mmm
# Magnetization ... 0.00 μB/cell

***

Relative energy among the computed polymorphs readings, ordered: 0.891; 0.362 eV per atom
Energy readings, ordered: -2.369; -5.738 eV per atom